*P*
A plane-wave DFT calculation with GGA-PBE was carried out for crystalline Ba6LiNb2IrCl2O12 at its relaxed geometry.

Results
As for the crystal system: trigonal.

a b c (Å): 5.9618 5.9618 15.5543
angles (deg): 90.00 90.00 120.00
Space group P3m1 (No. 156)
One atom of each set of equivalent atoms:
Ba (0.0000, 0.0000, 0.0000) [1 per cell]
Ba (0.0000, 0.0000, 0.2489) [1 per cell]
Ba (0.0000, 0.0000, 0.5944) [1 per cell]
Ba (0.3333, 0.6667, 0.1310) [1 per cell]
Ba (0.3333, 0.6667, 0.4201) [1 per cell]
Ba (0.3333, 0.6667, 0.8536) [1 per cell]
Li (0.0000, 0.0000, 0.4229) [1 per cell]
Nb (0.6667, 0.3333, 0.0306) [1 per cell]
Nb (0.6667, 0.3333, 0.3964) [1 per cell]
Ir (0.6667, 0.3333, 0.2140) [1 per cell]
Cl (0.0000, 0.0000, 0.7952) [1 per cell]
Cl (0.3333, 0.6667, 0.6381) [1 per cell]
O (0.3386, 0.1693, 0.4603) [3 per cell]
O (0.3563, 0.1782, 0.1260) [3 per cell]
O (0.5031, 0.0062, 0.9723) [3 per cell]
O (0.5153, 0.0305, 0.3015) [3 per cell]

---

*Q*
A plane-wave DFT calculation with GGA-PBE was carried out for crystalline Ba6LiNb2IrCl2O12 at its relaxed geometry.

Results
As for the crystal system: monoclinic.

a b c (Å): 10.504 5.986 15.391
angles (deg): 90.00 94.18 90.00
Space group Cm (No. 8)
One atom of each set of equivalent atoms:
Ba (0.000, 0.000, 0.000) [2 per cell]
Ba (0.020, 0.000, 0.270) [2 per cell]
Ba (0.072, 0.000, 0.684) [2 per cell]
Ba (0.320, 0.000, 0.873) [2 per cell]
Ba (0.345, 0.000, 0.125) [2 per cell]
Ba (0.395, 0.000, 0.541) [2 per cell]
Li (0.495, 0.000, 0.735) [2 per cell]
Nb (0.168, 0.500, 0.091) [2 per cell]
Nb (0.252, 0.500, 0.724) [2 per cell]
Ir (0.176, 0.500, 0.907) [2 per cell]
Cl (0.030, 0.000, 0.481) [2 per cell]
Cl (0.355, 0.000, 0.333) [2 per cell]
O (0.017, 0.500, 0.986) [2 per cell]
O (0.083, 0.260, 0.148) [4 per cell]
O (0.103, 0.500, 0.638) [2 per cell]
O (0.129, 0.284, 0.803) [4 per cell]
O (0.239, 0.263, 0.001) [4 per cell]
O (0.331, 0.500, 0.157) [2 per cell]
O (0.345, 0.500, 0.845) [2 per cell]
O (0.348, 0.250, 0.682) [4 per cell]

---

Relative energies with respect to the most stable structure, expressed in eV/atom: *P* 0.010; *Q* 0.000.